(1)
CrCoAu | meta-GGA SCAN | PBEsol geometry

a = 2.994 Å, b = 2.994 Å, c = 8.683 Å
α = 90.00°, β = 90.00°, γ = 90.00°
Space group I4mm (No. 107)
One atom of each set of equivalent atoms:
Cr: 0.000 0.000 0.000 x2
Co: 0.000 0.000 0.622 x2
Au: 0.000 0.000 0.310 x2

Properties
energy of formation from the pure elements: 54 kJ/mol of formula units
total energy: -208.58 eV per cell

(2)
CrCoAu2 | meta-GGA SCAN | PBEsol geometry

a = 2.729 Å, b = 2.729 Å, c = 7.471 Å
α = 90.00°, β = 90.00°, γ = 90.00°
Space group P4mm (No. 99)
One atom of each set of equivalent atoms:
Cr: 0.000 0.000 0.000 x1
Co: 0.500 0.500 0.825 x1
Au: 0.000 0.000 0.567 x1
Au: 0.500 0.500 0.266 x1

Properties
energy of formation from the pure elements: 69 kJ/mol of formula units
total energy: -173.29 eV per cell

(3)
CrCoAu2 | meta-GGA SCAN | PBEsol geometry

a = 9.152 Å, b = 2.821 Å, c = 4.585 Å
α = 90.00°, β = 106.36°, γ = 90.00°
Space group Cm (No. 8)
One atom of each set of equivalent atoms:
Cr: 0.000 0.000 0.000 x2
Co: 0.209 0.500 0.241 x2
Au: 0.240 0.000 0.767 x2
Au: 0.466 0.000 0.469 x2

Properties
energy of formation from the pure elements: 45 kJ/mol of formula units
total energy: -347.07 eV per cell